## La2PdSe (PBE)

Data for La2PdSe after structural relaxation.

Cell: 7.8705 7.8705 7.8705 Å, 31.04 31.04 31.04°
Closest atoms and distances in Å follow each position.
Element x y z (fractional)
La: 0.2456 0.2456 0.2456  3 Pd 3.01, 3 Se 3.13
La: 0.7544 0.7544 0.7544  3 Pd 3.01, 3 Se 3.13
Pd: 0.5000 0.5000 0.5000  6 La 3.01
Se: 0.0000 0.0000 0.0000  6 La 3.13

total magnetization	0.0	μB per cell
formation energy (no corrections)	-1.312	eV per atom
N(E_F)	2.88	states/eV/f.u.
calculated volume	115.0	Å³/cell

## Pr4Dy15Y (PBE)

Data for Pr4Dy15Y after structural relaxation.

Cell: 5.0706 5.0706 25.2383 Å, 90.00 90.00 90.00°
Closest atoms and distances in Å follow each position.
Element x y z (fractional)
Pr: 0.0000 0.0000 0.1003  12 Dy 3.58-3.59
Pr: 0.0000 0.0000 0.3006  12 Dy 3.58-3.59
Pr: 0.0000 0.0000 0.6994  12 Dy 3.58-3.59
Pr: 0.0000 0.0000 0.8997  12 Dy 3.58-3.59
Dy: 0.0000 0.5000 0.0000  8 Dy 3.58-3.59, 4 Pr 3.58
Dy: 0.0000 0.5000 0.2006  4 Pr 3.58, 8 Dy 3.58-3.59
Dy: 0.0000 0.5000 0.4012  8 Dy 3.56-3.59, 2 Y 3.56, 2 Pr 3.59
Dy: 0.0000 0.5000 0.5988  8 Dy 3.56-3.59, 2 Y 3.56, 2 Pr 3.59
Dy: 0.0000 0.5000 0.7994  4 Pr 3.58, 8 Dy 3.58-3.59
Dy: 0.5000 0.0000 0.0000  8 Dy 3.58-3.59, 4 Pr 3.58
Dy: 0.5000 0.0000 0.2006  4 Pr 3.58, 8 Dy 3.58-3.59
Dy: 0.5000 0.0000 0.4012  8 Dy 3.56-3.59, 2 Y 3.56, 2 Pr 3.59
Dy: 0.5000 0.0000 0.5988  8 Dy 3.56-3.59, 2 Y 3.56, 2 Pr 3.59
Dy: 0.5000 0.0000 0.7994  4 Pr 3.58, 8 Dy 3.58-3.59
Dy: 0.5000 0.5000 0.1002  8 Dy 3.58, 4 Pr 3.59
Dy: 0.5000 0.5000 0.3010  8 Dy 3.58-3.59, 4 Pr 3.59
Dy: 0.5000 0.5000 0.5000  8 Dy 3.56, 4 Y 3.59
Dy: 0.5000 0.5000 0.6990  8 Dy 3.58-3.59, 4 Pr 3.59
Dy: 0.5000 0.5000 0.8998  8 Dy 3.58, 4 Pr 3.59
Y: 0.0000 0.0000 0.5000  12 Dy 3.56-3.59

total magnetization	0.0	μB per cell
N(E_F)	26.70	states/eV/f.u.
calculated volume	648.9	Å³/cell
energy of formation from the pure elements	0.020	eV per atom

## SrCo2Ir (PBE)

Data for SrCo2Ir after structural relaxation.

Cell: 9.4274 9.4274 9.4274 Å, 17.45 17.45 17.45°
Closest atoms and distances in Å follow each position.
Element x y z (fractional)
Sr: 0.0000 0.0000 0.0000  6 Sr 2.86, 6 Co 3.12
Co: 0.2381 0.2381 0.2381  3 Ir 2.58, 6 Co 2.86
Co: 0.7619 0.7619 0.7619  3 Ir 2.58, 6 Co 2.86
Ir: 0.5000 0.5000 0.5000  6 Co 2.58, 6 Ir 2.86

total magnetization	3.8	μB per cell
N(E_F)	6.41	states/eV/f.u.
calculated volume	65.7	Å³/cell
energy of formation from the pure elements	0.879	eV per atom

## BaCdPH (PBE)

Data for BaCdPH after structural relaxation.

Cell: 11.1807 11.1807 11.1807 Å, 23.11 23.11 23.11°
Closest atoms and distances in Å follow each position.
Element x y z (fractional)
Ba: 0.0000 0.0000 0.0000  6 H 2.70
Ba: 0.5000 0.5000 0.5000  6 P 3.31
Cd: 0.2504 0.2504 0.2504  1 H 1.95
Cd: 0.7496 0.7496 0.7496  1 H 1.95
P: 0.1036 0.1036 0.1036  3 Cd 2.67
P: 0.8964 0.8964 0.8964  3 Cd 2.67
H: 0.3100 0.3100 0.3100  1 Cd 1.95
H: 0.6900 0.6900 0.6900  1 Cd 1.95

electronic total energy	-3.503	eV/atom
total magnetization	0.0	μB per cell
calculated volume	189.0	Å³/cell

## YNpIrPd (PBE)

Data for YNpIrPd after structural relaxation.

Cell: 4.9039 4.9039 4.9039 Å, 60.00 60.00 60.00°
Closest atoms and distances in Å follow each position.
Element x y z (fractional)
Y: 0.0000 0.0000 0.0000  4 Pd 3.00, 4 Ir 3.00
Np: 0.5000 0.5000 0.5000  4 Pd 3.00, 4 Ir 3.00
Ir: 0.2500 0.2500 0.2500  4 Np 3.00, 4 Y 3.00
Pd: 0.7500 0.7500 0.7500  4 Y 3.00, 4 Np 3.00

total magnetization	4.2	μB per cell
N(E_F)	9.40	states/eV/f.u.
calculated volume	83.4	Å³/cell
energy of formation from the pure elements	-0.462	eV per atom

## RbTeI4 (PBE)

Data for RbTeI4 after structural relaxation.

Cell: 6.1263 12.9734 8.7828 Å, 90.00 90.09 90.00°
Closest atoms and distances in Å follow each position.
Element x y z (fractional)
Rb: 0.0029 0.2500 0.4672  7 I 3.73-4.07
Rb: 0.9971 0.7500 0.5328  7 I 3.73-4.07
Te: 0.4982 0.7500 0.1178  5 I 2.94-3.06
Te: 0.5018 0.2500 0.8822  5 I 2.94-3.06
I: 0.0019 0.2500 0.8922  2 Te 3.06
I: 0.4975 0.7500 0.7828  1 Te 2.94
I: 0.4989 0.5821 0.3569  1 Te 3.03, 1 I 3.29
I: 0.4989 0.9179 0.3569  1 Te 3.03, 1 I 3.29
I: 0.5011 0.0821 0.6431  1 Te 3.03, 1 I 3.29
I: 0.5011 0.4179 0.6431  1 Te 3.03, 1 I 3.29
I: 0.5025 0.2500 0.2172  1 Te 2.94
I: 0.9981 0.7500 0.1078  2 Te 3.06

total magnetization	0.0	μB per cell
formation energy (no corrections)	-0.508	eV per atom
N(E_F)	1.90	states/eV/f.u.
polymorph energy (0 for the lowest one)	0.005	eV/atom
calculated volume	698.0	Å³/cell